1.
First-principles (PBE) data for crystalline CdGeC2 at its relaxed geometry, as listed in Alexandria via LeMat-Bulk.

For the total magnetization, the calculation gives 0.000 μB/cell. For the density of states at the Fermi level, the calculation gives 4.01 states/eV/f.u. The calculation puts the energy of formation from the pure elements at 216 kJ per mole of atoms. The calculation puts the final energy at -3.7518 eV per atom. The value obtained for the energy above the most stable polymorph in this dataset is 0.943 eV/atom.

The space group is Fm-3m (No. 225) and the conventional cell measures 5.9285, 5.9285 and 5.9285 Å, with angles of 90.00, 90.00 and 90.00 degrees. The inequivalent atoms are Cd at (0.0000, 0.0000, 0.0000), Ge at (0.0000, 0.0000, 0.5000) and C at (0.2500, 0.2500, 0.2500).

=====

2.
First-principles (PBE) data for crystalline Eu2Ga7Ag at its relaxed geometry, as listed in Alexandria via LeMat-Bulk.

For the total magnetization, the calculation gives 13.974 μB/cell. For the density of states at the Fermi level, the calculation gives 18.63 states/eV/f.u. The calculation puts the energy of formation from the pure elements at -42 kJ per mole of atoms. The calculation puts the final energy at -4.8950 eV per atom.

The space group is P-4m2 (No. 115) and the conventional cell measures 4.3701, 4.3701 and 10.8922 Å, with angles of 90.00, 90.00 and 90.00 degrees. The inequivalent atoms are Eu at (0.0000, 0.5000, 0.2458), Ga at (0.0000, 0.0000, 0.0000), Ga at (0.0000, 0.5000, 0.6359), Ga at (0.0000, 0.5000, 0.8651), Ga at (0.5000, 0.5000, 0.0000), Ga at (0.5000, 0.5000, 0.5000) and Ag at (0.0000, 0.0000, 0.5000).

=====

3.
First-principles (PBE) data for crystalline BeTl3 at its relaxed geometry, as listed in Alexandria via LeMat-Bulk.

For the total magnetization, the calculation gives 0.000 μB/cell. For the density of states at the Fermi level, the calculation gives 2.27 states/eV/f.u. The calculation puts the energy of formation from the pure elements at 56 kJ per mole of atoms. The calculation puts the final energy at -2.1240 eV per atom. The value obtained for the energy above the most stable polymorph in this dataset is 0.264 eV/atom.

The space group is R-3m (No. 166, hexagonal axes) and the conventional cell measures 10.4047, 10.4047 and 3.3973 Å, with angles of 90.00, 90.00 and 120.00 degrees. The inequivalent atoms are Be at (0.0000, 0.0000, 0.0000) and Tl at (0.0000, 0.5000, 0.0000).

=====

4.
First-principles (PBE) data for crystalline HoMg2In at its relaxed geometry, as listed in Alexandria via LeMat-Bulk.

For the total magnetization, the calculation gives 0.063 μB/cell. For the density of states at the Fermi level, the calculation gives 2.45 states/eV/f.u. The calculation puts the energy of formation from the pure elements at -10 kJ per mole of atoms. The calculation puts the final energy at -2.7294 eV per atom.

The space group is P4/mmm (No. 123) and the conventional cell measures 3.5000, 3.5000 and 8.2033 Å, with angles of 90.00, 90.00 and 90.00 degrees. The inequivalent atoms are Ho at (0.0000, 0.0000, 0.0000), Mg at (0.5000, 0.5000, 0.2752) and In at (0.0000, 0.0000, 0.5000).

=====

5.
First-principles (PBE) data for crystalline Cs2NpTe2Se6 at its relaxed geometry, as listed in Alexandria via LeMat-Bulk.

For the total magnetization, the calculation gives 2.190 μB/cell. For the density of states at the Fermi level, the calculation gives 8.08 states/eV/f.u. The calculation puts the formation energy without anion corrections at -0.6201 eV/atom. The calculation puts the final energy at -4.4236 eV per atom.

The space group is C2/m (No. 12) and the conventional cell measures 15.1091, 7.4686 and 9.1791 Å, with angles of 90.00, 121.09 and 90.00 degrees. The inequivalent atoms are Cs at (0.2066, 0.0000, 0.2010), Np at (0.0000, 0.0000, 0.5000), Te at (0.0623, 0.5000, 0.3058), Se at (0.0674, 0.2435, 0.7737) and Se at (0.1937, 0.0000, 0.5913).

=====

6.
First-principles (PBE) data for crystalline ZrNiGe2H at its relaxed geometry, as listed in Alexandria via LeMat-Bulk.

For the total magnetization, the calculation gives 0.000 μB/cell. For the density of states at the Fermi level, the calculation gives 2.82 states/eV/f.u. The calculation puts the final energy at -5.4535 eV per atom.

The space group is P4/mmm (No. 123) and the conventional cell measures 4.9748, 4.9748 and 3.0364 Å, with angles of 90.00, 90.00 and 90.00 degrees. The inequivalent atoms are Zr at (0.0000, 0.0000, 0.0000), Ni at (0.5000, 0.5000, 0.5000), Ge at (0.0000, 0.5000, 0.5000) and H at (0.5000, 0.5000, 0.0000).

=====

7.
First-principles (PBE) data for crystalline Pa2P4Ir3Os at its relaxed geometry, as listed in Alexandria via LeMat-Bulk.

For the total magnetization, the calculation gives 0.772 μB/cell. For the density of states at the Fermi level, the calculation gives 7.31 states/eV/f.u. The calculation puts the energy of formation from the pure elements at -85 kJ per mole of atoms. The calculation puts the final energy at -8.7242 eV per atom.

The space group is P-4m2 (No. 115) and the conventional cell measures 4.1470, 4.1470 and 9.5060 Å, with angles of 90.00, 90.00 and 90.00 degrees. The inequivalent atoms are Pa at (0.0000, 0.5000, 0.2423), P at (0.0000, 0.0000, 0.0000), P at (0.0000, 0.5000, 0.6364), P at (0.5000, 0.5000, 0.0000), Ir at (0.0000, 0.5000, 0.8832), Ir at (0.5000, 0.5000, 0.5000) and Os at (0.0000, 0.0000, 0.5000).

=====

8.
First-principles (PBE) data for crystalline Zn2PtAu at its relaxed geometry, as listed in Alexandria via LeMat-Bulk.

For the total magnetization, the calculation gives 0.000 μB/cell. For the density of states at the Fermi level, the calculation gives 1.09 states/eV/f.u. The calculation puts the energy of formation from the pure elements at -36 kJ per mole of atoms. The calculation puts the final energy at -3.3395 eV per atom.

The space group is P2/m (No. 10) and the conventional cell measures 2.9739, 3.6381 and 5.6917 Å, with angles of 90.00, 90.16 and 90.00 degrees. The inequivalent atoms are Zn at (0.0007, 0.0000, 0.2380), Pt at (0.5000, 0.5000, 0.0000) and Au at (0.5000, 0.5000, 0.5000).

=====

9.
First-principles (PBE) data for crystalline TbNdDyHo at its relaxed geometry, as listed in Alexandria via LeMat-Bulk.

For the total magnetization, the calculation gives 0.002 μB/cell. For the density of states at the Fermi level, the calculation gives 8.47 states/eV/f.u. The calculation puts the energy of formation from the pure elements at 13 kJ per mole of atoms. The calculation puts the final energy at -4.5129 eV per atom. The value obtained for the energy above the most stable polymorph in this dataset is 0.000 eV/atom.

The space group is F-43m (No. 216) and the conventional cell measures 8.0601, 8.0601 and 8.0601 Å, with angles of 90.00, 90.00 and 90.00 degrees. The inequivalent atoms are Tb at (0.0000, 0.0000, 0.0000), Nd at (0.0000, 0.0000, 0.5000), Dy at (0.2500, 0.2500, 0.2500) and Ho at (0.2500, 0.2500, 0.7500).

=====

10.
First-principles (PBE) data for crystalline Sr2LiCu12Ni3 at its relaxed geometry, as listed in Alexandria via LeMat-Bulk.

For the total magnetization, the calculation gives 0.000 μB/cell. For the density of states at the Fermi level, the calculation gives 7.38 states/eV/f.u. The calculation puts the energy of formation from the pure elements at 40 kJ per mole of atoms. The calculation puts the final energy at -3.5732 eV per atom.

The space group is R-3m (No. 166, hexagonal axes) and the conventional cell measures 8.0598, 8.0598 and 17.8155 Å, with angles of 90.00, 90.00 and 120.00 degrees. The inequivalent atoms are Sr at (0.0000, 0.0000, 0.1041), Li at (0.0000, 0.0000, 0.5000), Cu at (0.0202, 0.5101, 0.1323), Cu at (0.1061, 0.2123, 0.7330) and Ni at (0.0000, 0.5000, 0.0000).